[1]
The following is a DFT calculation (PBEsol) of CaGaSeN2 after structural relaxation.

Calculated values
- Fermi-level density of states: 3.04 states/eV per cell
- Energy relative to the elements, uncorrected: 27.13 kcal/mol of atoms
- Electronic total energy: -4.099 eV/atom

abc: 4.4768 4.4768 5.6637
angles: 90.00 90.00 90.00
Fractional coordinates of all 5 atoms:
Ca: 0.0000 0.0000 0.0000
Ga: 0.5000 0.5000 0.5000
Se: 0.0000 0.0000 0.5000
N: 0.0000 0.5000 0.0000
N: 0.5000 0.0000 0.0000

[2]
The following is a DFT calculation (PBEsol) of Ba2MgAgTe after structural relaxation.

Calculated values
- Fermi-level density of states: 4.76 states/eV per cell
- Energy relative to the elements, uncorrected: -5.07 kcal/mol of atoms
- Electronic total energy: -2.790 eV/atom

abc: 6.5538 6.5538 5.2131
angles: 90.00 90.00 90.00
Fractional coordinates of all 5 atoms:
Ba: 0.0000 0.5000 0.0000
Ba: 0.5000 0.0000 0.0000
Mg: 0.0000 0.0000 0.5000
Ag: 0.5000 0.5000 0.5000
Te: 0.5000 0.5000 0.0000

[3]
The following is a DFT calculation (PBEsol) of SrSiP2 after structural relaxation.

Calculated values
- Energy relative to the elements, uncorrected: -16.09 kcal/mol of atoms
- Electronic total energy: -5.490 eV/atom

abc: 6.1573 6.1573 6.1573
angles: 112.52 112.52 103.52
Fractional coordinates of all 8 atoms:
Sr: 0.0000 0.0000 0.0000
Sr: 0.7500 0.2500 0.5000
Si: 0.2500 0.7500 0.5000
Si: 0.5000 0.5000 0.0000
P: 0.2143 0.1250 0.5893
P: 0.3750 0.7857 0.9107
P: 0.5357 0.6250 0.4107
P: 0.8750 0.4643 0.0893

[4]
The following is a DFT calculation (PBEsol) of PAuN3 after structural relaxation.

Calculated values
- Fermi-level density of states: 2.77 states/eV per cell
- Energy relative to the elements, uncorrected: 57.44 kcal/mol of atoms
- Electronic total energy: -4.568 eV/atom

abc: 3.9738 3.9738 3.9738
angles: 90.00 90.00 90.00
Fractional coordinates of all 5 atoms:
P: 0.0000 0.0000 0.0000
Au: 0.5000 0.5000 0.5000
N: 0.0000 0.5000 0.5000
N: 0.5000 0.0000 0.5000
N: 0.5000 0.5000 0.0000

[5]
The following is a DFT calculation (PBEsol) of LiTlRhBr2 after structural relaxation.

Calculated values
- Fermi-level density of states: 0.51 states/eV per cell
- Energy relative to the elements, uncorrected: -5.74 kcal/mol of atoms
- Electronic total energy: -3.544 eV/atom

abc: 5.0772 5.0772 4.6365
angles: 90.00 90.00 90.00
Fractional coordinates of all 5 atoms:
Li: 0.0000 0.0000 0.0000
Tl: 0.5000 0.5000 0.0000
Rh: 0.0000 0.0000 0.5000
Br: 0.0000 0.5000 0.5000
Br: 0.5000 0.0000 0.5000

[6]
The following is a DFT calculation (PBEsol) of ReGe2SbN after structural relaxation.

Calculated values
- Fermi-level density of states: 3.40 states/eV per cell
- Energy relative to the elements, uncorrected: 8.60 kcal/mol of atoms
- Electronic total energy: -6.886 eV/atom

abc: 5.0196 5.0196 3.7391
angles: 90.00 90.00 90.00
Fractional coordinates of all 5 atoms:
Re: 0.0000 0.0000 0.0000
Ge: 0.0000 0.5000 0.0000
Ge: 0.5000 0.0000 0.0000
Sb: 0.5000 0.5000 0.5000
N: 0.0000 0.0000 0.5000

[7]
The following is a DFT calculation (PBEsol) of NaBi2TeW after structural relaxation.

Calculated values
- Fermi-level density of states: 3.92 states/eV per cell
- Energy relative to the elements, uncorrected: 39.13 kcal/mol of atoms
- Electronic total energy: -3.764 eV/atom

abc: 5.2563 5.2563 5.2611
angles: 90.00 90.00 90.00
Fractional coordinates of all 5 atoms:
Na: 0.0000 0.0000 0.0000
Bi: 0.0000 0.5000 0.0000
Bi: 0.5000 0.0000 0.0000
Te: 0.0000 0.0000 0.5000
W: 0.5000 0.5000 0.5000

[8]
The following is a DFT calculation (PBEsol) of Hg2BC after structural relaxation.

Calculated values
- Fermi-level density of states: 1.35 states/eV per cell
- E_form: 796 kJ/mol of formula units
- Electronic total energy: -2.386 eV/atom

abc: 4.3382 4.3382 4.3382
angles: 60.00 60.00 60.00
Fractional coordinates of all 4 atoms:
Hg: 0.2500 0.2500 0.2500
Hg: 0.7500 0.7500 0.7500
B: 0.0000 0.0000 0.0000
C: 0.5000 0.5000 0.5000